Entry 1:
# GGA-PBE ZrW2Br, optimized geometry
# * energy relative to the elements, uncorrected: 28.90 kJ per mole of atoms
# * energy above the lowest structure with this stoichiometry: 0.1635 eV/atom
data_ZrW2Br
_symmetry_space_group_name_H-M 'C m m 2'
_symmetry_Int_Tables_number 35
_cell_length_a 3.299
_cell_length_b 5.087
_cell_length_c 9.703
_cell_angle_alpha 90.00
_cell_angle_beta 90.00
_cell_angle_gamma 90.00
loop_
_symmetry_equiv_pos_as_xyz
'x,y,z'
'-x,-y,z'
'-x,y,z'
'x,-y,z'
'x+1/2,y+1/2,z'
'-x+1/2,-y+1/2,z'
'-x+1/2,y+1/2,z'
'x+1/2,-y+1/2,z'
loop_
_atom_site_label
_atom_site_type_symbol
_atom_site_fract_x
_atom_site_fract_y
_atom_site_fract_z
Zr1 Zr 0.000 0.000 0.000
W1 W 0.000 0.000 0.441
W2 W 0.000 0.500 0.242
Br1 Br 0.000 0.500 0.775

Entry 2:
# GGA-PBE Zr2WBr, optimized geometry
# * energy relative to the elements, uncorrected: 42.64 kJ per mole of atoms
# * energy above the lowest structure with this stoichiometry: 0.7163 eV/atom
data_Zr2WBr
_symmetry_space_group_name_H-M 'F m -3 m'
_symmetry_Int_Tables_number 225
_symmetry_space_group_name_Hall '-F 4 2 3'
_cell_length_a 6.865
_cell_length_b 6.865
_cell_length_c 6.865
_cell_angle_alpha 90.00
_cell_angle_beta 90.00
_cell_angle_gamma 90.00
loop_
_atom_site_label
_atom_site_type_symbol
_atom_site_fract_x
_atom_site_fract_y
_atom_site_fract_z
Zr1 Zr 0.250 0.250 0.250
W1 W 0.000 0.000 0.000
Br1 Br 0.000 0.000 0.500

Entry 3:
# GGA-PBE Zr2WBr, optimized geometry
# * energy relative to the elements, uncorrected: 22.07 kJ per mole of atoms
# * energy above the lowest structure with this stoichiometry: 0.5031 eV/atom
data_Zr2WBr
_symmetry_space_group_name_H-M 'C m m m'
_symmetry_Int_Tables_number 65
_symmetry_space_group_name_Hall '-C 2 2'
_cell_length_a 6.342
_cell_length_b 7.633
_cell_length_c 3.285
_cell_angle_alpha 90.00
_cell_angle_beta 90.00
_cell_angle_gamma 90.00
loop_
_atom_site_label
_atom_site_type_symbol
_atom_site_fract_x
_atom_site_fract_y
_atom_site_fract_z
Zr1 Zr 0.250 0.250 0.000
W1 W 0.000 0.000 0.500
Br1 Br 0.000 0.500 0.500

Entry 4:
# GGA-PBE ZrW2Br, optimized geometry
# * energy relative to the elements, uncorrected: 72.35 kJ per mole of atoms
# * energy above the lowest structure with this stoichiometry: 0.6139 eV/atom
data_ZrW2Br
_symmetry_space_group_name_H-M 'P m m m'
_symmetry_Int_Tables_number 47
_cell_length_a 3.121
_cell_length_b 4.532
_cell_length_c 5.564
_cell_angle_alpha 90.00
_cell_angle_beta 90.00
_cell_angle_gamma 90.00
loop_
_symmetry_equiv_pos_as_xyz
'x,y,z'
'-x,-y,-z'
'-x,-y,z'
'x,y,-z'
'x,-y,-z'
'-x,y,z'
'-x,y,-z'
'x,-y,z'
loop_
_atom_site_label
_atom_site_type_symbol
_atom_site_fract_x
_atom_site_fract_y
_atom_site_fract_z
Zr1 Zr 0.000 0.000 0.000
W1 W 0.500 0.500 0.212
Br1 Br 0.000 0.000 0.500

Entry 5:
# GGA-PBE ZrW2Br, optimized geometry
# * energy relative to the elements, uncorrected: 119.22 kJ per mole of atoms
# * energy above the lowest structure with this stoichiometry: 1.0996 eV/atom
data_ZrW2Br
_symmetry_space_group_name_H-M 'F m -3 m'
_symmetry_Int_Tables_number 225
_symmetry_space_group_name_Hall '-F 4 2 3'
_cell_length_a 6.630
_cell_length_b 6.630
_cell_length_c 6.630
_cell_angle_alpha 90.00
_cell_angle_beta 90.00
_cell_angle_gamma 90.00
loop_
_atom_site_label
_atom_site_type_symbol
_atom_site_fract_x
_atom_site_fract_y
_atom_site_fract_z
Zr1 Zr 0.000 0.000 0.000
W1 W 0.250 0.250 0.250
Br1 Br 0.000 0.000 0.500

Entry 6:
# GGA-PBE Zr2WBr, optimized geometry
# * energy relative to the elements, uncorrected: -26.48 kJ per mole of atoms
# * energy above the lowest structure with this stoichiometry: 0.0000 eV/atom
data_Zr2WBr
_symmetry_space_group_name_H-M 'P m m m'
_symmetry_Int_Tables_number 47
_cell_length_a 3.303
_cell_length_b 3.406
_cell_length_c 8.073
_cell_angle_alpha 90.00
_cell_angle_beta 90.00
_cell_angle_gamma 90.00
loop_
_symmetry_equiv_pos_as_xyz
'x,y,z'
'-x,-y,-z'
'-x,-y,z'
'x,y,-z'
'x,-y,-z'
'-x,y,z'
'-x,y,-z'
'x,-y,z'
loop_
_atom_site_label
_atom_site_type_symbol
_atom_site_fract_x
_atom_site_fract_y
_atom_site_fract_z
Zr1 Zr 0.000 0.000 0.200
W1 W 0.500 0.500 0.000
Br1 Br 0.500 0.000 0.500

Final energy, respectively: -8.732; -7.489; -7.702; -8.282; -7.796; -8.205 eV per atom.